Material: Mo3OsF
Method: DFT, GGA+U
State: relaxed

Cell and atoms, written as CIF:
```
data_Mo3OsF
_chemical_formula_sum 'Mo3 Os1 F1'
_cell_length_a 5.0820
_cell_length_b 5.0820
_cell_length_c 5.0820
_cell_angle_alpha 90.00
_cell_angle_beta 90.00
_cell_angle_gamma 90.00
_symmetry_space_group_name_H-M 'P m -3 m'
_symmetry_Int_Tables_number 221
_symmetry_space_group_name_Hall '-P 4 2 3'
loop_
_atom_site_label
_atom_site_type_symbol
_atom_site_fract_x
_atom_site_fract_y
_atom_site_fract_z
Mo1 Mo 0.0000 0.0000 0.5000
Os1 Os 0.0000 0.0000 0.0000
F1 F 0.5000 0.5000 0.5000
```

Results
size of the total moment	10.30	μB/cell
DOS(E_F)	0.727	states/eV per atom
energy above the lowest structure with this stoichiometry	0.1887	eV per atom